Record 1
Entry from the Alexandria database: Sm3Y2TmAs6 after structural relaxation (PBE-GGA).

Cell and atoms, written as CIF:
```
data_Sm3Y2TmAs6
_symmetry_space_group_name_H-M 'C 1 2/m 1'
_symmetry_Int_Tables_number 12
_symmetry_space_group_name_Hall '-C 2y'
_cell_length_a 18.124
_cell_length_b 4.162
_cell_length_c 8.315
_cell_angle_alpha 90.00
_cell_angle_beta 103.20
_cell_angle_gamma 90.00
loop_
_atom_site_label
_atom_site_type_symbol
_atom_site_fract_x
_atom_site_fract_y
_atom_site_fract_z
_atom_site_occupancy
Sm1 Sm 0.000 0.000 0.000 1
Sm2 Sm 0.167 0.500 0.333 1
Y1 Y 0.166 0.500 0.833 1
Tm1 Tm 0.000 0.000 0.500 1
As1 As 0.001 0.500 0.744 1
As2 As 0.164 0.000 0.585 1
As3 As 0.168 0.000 0.080 1
```

Results
energy of formation from the pure elements	-18.37	eV/f.u.


Record 2
Entry from the Alexandria database: Sm2TmZrAs4 after structural relaxation (PBE-GGA).

Cell and atoms, written as CIF:
```
data_Sm2TmZrAs4
_symmetry_space_group_name_H-M 'P 1 2/m 1'
_symmetry_Int_Tables_number 10
_symmetry_space_group_name_Hall '-P 2y'
_cell_length_a 7.061
_cell_length_b 4.076
_cell_length_c 7.072
_cell_angle_alpha 90.00
_cell_angle_beta 109.30
_cell_angle_gamma 90.00
loop_
_atom_site_label
_atom_site_type_symbol
_atom_site_fract_x
_atom_site_fract_y
_atom_site_fract_z
_atom_site_occupancy
Sm1 Sm 0.000 0.000 0.000 1
Sm2 Sm 0.500 0.500 0.000 1
Tm1 Tm 0.000 0.500 0.500 1
Zr1 Zr 0.500 0.000 0.500 1
As1 As 0.251 0.000 0.736 1
As2 As 0.261 0.500 0.267 1
```

Results
energy of formation from the pure elements	-11.36	eV/f.u.


Record 3
Entry from the Alexandria database: SmTm2ZrAs4 after structural relaxation (PBE-GGA).

Cell and atoms, written as CIF:
```
data_SmTm2ZrAs4
_symmetry_space_group_name_H-M 'P 1 2/m 1'
_symmetry_Int_Tables_number 10
_symmetry_space_group_name_Hall '-P 2y'
_cell_length_a 6.996
_cell_length_b 4.041
_cell_length_c 7.009
_cell_angle_alpha 90.00
_cell_angle_beta 109.28
_cell_angle_gamma 90.00
loop_
_atom_site_label
_atom_site_type_symbol
_atom_site_fract_x
_atom_site_fract_y
_atom_site_fract_z
_atom_site_occupancy
Sm1 Sm 0.000 0.000 0.000 1
Tm1 Tm 0.500 0.000 0.500 1
Tm2 Tm 0.500 0.500 0.000 1
Zr1 Zr 0.000 0.500 0.500 1
As1 As 0.246 0.000 0.739 1
As2 As 0.253 0.500 0.261 1
```

Results
energy of formation from the pure elements	-11.19	eV/f.u.


Record 4
Entry from the Alexandria database: SmTmZr2As4 after structural relaxation (PBE-GGA).

Cell and atoms, written as CIF:
```
data_SmTmZr2As4
_symmetry_space_group_name_H-M 'P 1 2/m 1'
_symmetry_Int_Tables_number 10
_symmetry_space_group_name_Hall '-P 2y'
_cell_length_a 6.893
_cell_length_b 3.974
_cell_length_c 6.977
_cell_angle_alpha 90.00
_cell_angle_beta 109.28
_cell_angle_gamma 90.00
loop_
_atom_site_label
_atom_site_type_symbol
_atom_site_fract_x
_atom_site_fract_y
_atom_site_fract_z
_atom_site_occupancy
Sm1 Sm 0.000 0.000 0.000 1
Tm1 Tm 0.500 0.500 0.000 1
Zr1 Zr 0.000 0.500 0.500 1
Zr2 Zr 0.500 0.000 0.500 1
As1 As 0.250 0.000 0.737 1
As2 As 0.260 0.500 0.266 1
```

Results
energy of formation from the pure elements	-10.41	eV/f.u.


Record 5
Entry from the Alexandria database: SmU4As5 after structural relaxation (PBE-GGA).

Cell and atoms, written as CIF:
```
data_SmU4As5
_symmetry_space_group_name_H-M 'I m m m'
_symmetry_Int_Tables_number 71
_symmetry_space_group_name_Hall '-I 2 2'
_cell_length_a 4.072
_cell_length_b 5.809
_cell_length_c 20.758
_cell_angle_alpha 90.00
_cell_angle_beta 90.00
_cell_angle_gamma 90.00
loop_
_atom_site_label
_atom_site_type_symbol
_atom_site_fract_x
_atom_site_fract_y
_atom_site_fract_z
_atom_site_occupancy
Sm1 Sm 0.000 0.000 0.000 1
U1 U 0.000 0.000 0.202 1
U2 U 0.000 0.000 0.400 1
As1 As 0.000 0.500 0.000 1
As2 As 0.000 0.500 0.199 1
As3 As 0.000 0.500 0.397 1
```

Results
energy of formation from the pure elements	-8.73	eV/f.u.


Record 6
Entry from the Alexandria database: Sm3UAs4 after structural relaxation (PBE-GGA).

Cell and atoms, written as CIF:
```
data_Sm3UAs4
_symmetry_space_group_name_H-M 'C m m m'
_symmetry_Int_Tables_number 65
_symmetry_space_group_name_Hall '-C 2 2'
_cell_length_a 8.390
_cell_length_b 11.795
_cell_length_c 4.164
_cell_angle_alpha 90.00
_cell_angle_beta 90.00
_cell_angle_gamma 90.00
loop_
_atom_site_label
_atom_site_type_symbol
_atom_site_fract_x
_atom_site_fract_y
_atom_site_fract_z
_atom_site_occupancy
Sm1 Sm 0.000 0.000 0.000 1
Sm2 Sm 0.250 0.250 0.500 1
U1 U 0.000 0.500 0.000 1
As1 As 0.000 0.256 0.000 1
As2 As 0.243 0.500 0.500 1
```

Results
energy of formation from the pure elements	-10.60	eV/f.u.


Record 7
Entry from the Alexandria database: Sm4UAs5 after structural relaxation (PBE-GGA).

Cell and atoms, written as CIF:
```
data_Sm4UAs5
_symmetry_space_group_name_H-M 'I 4/m'
_symmetry_Int_Tables_number 87
_symmetry_space_group_name_Hall '-I 4'
_cell_length_a 9.348
_cell_length_b 9.348
_cell_length_c 5.917
_cell_angle_alpha 90.00
_cell_angle_beta 90.00
_cell_angle_gamma 90.00
loop_
_atom_site_label
_atom_site_type_symbol
_atom_site_fract_x
_atom_site_fract_y
_atom_site_fract_z
_atom_site_occupancy
Sm1 Sm 0.098 0.301 0.000 1
U1 U 0.000 0.000 0.500 1
As1 As 0.000 0.000 0.000 1
As2 As 0.097 0.292 0.500 1
```

Results
energy of formation from the pure elements	-13.70	eV/f.u.


Record 8
Entry from the Alexandria database: SmU2As3 after structural relaxation (PBE-GGA).

Cell and atoms, written as CIF:
```
data_SmU2As3
_symmetry_space_group_name_H-M 'P 1 21/c 1'
_symmetry_Int_Tables_number 14
_symmetry_space_group_name_Hall '-P 2ybc'
_cell_length_a 5.839
_cell_length_b 12.402
_cell_length_c 8.224
_cell_angle_alpha 90.00
_cell_angle_beta 90.05
_cell_angle_gamma 90.00
loop_
_atom_site_label
_atom_site_type_symbol
_atom_site_fract_x
_atom_site_fract_y
_atom_site_fract_z
_atom_site_occupancy
Sm1 Sm 0.250 0.081 0.125 1
U1 U 0.250 0.084 0.623 1
U2 U 0.251 0.748 0.625 1
As1 As 0.249 0.249 0.874 1
As2 As 0.250 0.586 0.369 1
As3 As 0.250 0.586 0.879 1
```

Results
energy of formation from the pure elements	-5.88	eV/f.u.